No. 1
Here is a relaxed structure of DyYIrRu from Alexandria via LeMat-Bulk. Energies are from PBE.

```
DyYIrRu
1.0
4.8313 0.0000 0.0000
2.4157 4.1840 0.0000
2.4157 1.3947 3.9447
Y Ru Ir Dy
1 1 1 1
Cartesian
4.8313 2.7894 1.9724 Y
7.2470 4.1840 2.9586 Ru
2.4157 1.3947 0.9862 Ir
0.0000 0.0000 0.0000 Dy
```

Properties
DFT formation energy   -0.587 eV per atom


No. 2
Here is a relaxed structure of DyIrS2 from Alexandria via LeMat-Bulk. Energies are from PBE.

```
DyIrS2
1.0
3.6666 0.0000 0.0000
1.8333 3.1753 0.0000
1.8333 1.0584 7.7086
S Ir Dy
2 1 1
Cartesian
1.8333 1.0584 4.9901 S
5.4998 3.1753 2.7185 S
3.6666 2.1169 3.8543 Ir
0.0000 0.0000 0.0000 Dy
```

Properties
ΔE_f (raw)   -0.492 eV per atom


No. 3
Here is a relaxed structure of DyIrS from Alexandria via LeMat-Bulk. Energies are from PBE.

```
DyIrS
1.0
3.6770 0.0000 0.0000
-1.8385 3.2743 0.0000
0.0000 0.0000 10.1464
Ir S Dy
2 2 2
Cartesian
1.8385 0.6616 0.0000 Ir
0.0000 2.1260 5.0732 Ir
1.8385 0.6677 3.6317 S
1.8385 0.6677 6.5148 S
0.0000 1.7582 8.3202 Dy
0.0000 1.7582 1.8262 Dy
```

Properties
ΔE_f (raw)   -0.476 eV per atom


No. 4
Here is a relaxed structure of Dy7IrS5 from Alexandria via LeMat-Bulk. Energies are from PBE.

```
Dy7IrS5
1.0
3.8512 -0.0016 0.0000
-1.9282 6.4500 0.0077
0.0000 -0.0275 23.5172
Dy Ir S
14 2 10
Cartesian
0.0015 5.9523 5.8656 Dy
1.9215 0.4761 17.6179 Dy
1.9279 1.8859 0.8693 Dy
-0.0024 4.7232 22.6964 Dy
-0.0048 4.5540 12.6311 Dy
1.9254 1.6933 10.9340 Dy
0.0021 2.6135 4.2141 Dy
1.9216 3.9692 19.3135 Dy
1.9209 3.8185 15.9744 Dy
0.0014 2.4555 7.5529 Dy
1.9275 5.3883 2.5521 Dy
-0.0023 1.2684 20.7928 Dy
-0.0044 1.0476 14.3058 Dy
1.9253 5.1528 9.0390 Dy
1.9265 3.9503 6.0472 Ir
-0.0035 2.4777 17.8047 Ir
0.0012 0.0909 23.4741 S
1.9234 2.9550 21.8572 S
0.0016 3.6433 1.6843 S
1.9285 0.5830 8.4496 S
-0.0075 5.6961 15.0955 S
1.9218 6.3238 11.7230 S
-0.0005 3.4636 10.0991 S
1.9214 2.7947 13.4420 S
-0.0055 5.8396 20.2147 S
1.9305 0.7379 3.3309 S
```

Properties
ΔE_f (raw)   -1.694 eV per atom


No. 5
Here is a relaxed structure of Dy6IrSe3S2 from Alexandria via LeMat-Bulk. Energies are from PBE.

```
Dy6IrSe3S2
1.0
3.9773 0.0000 0.0000
0.0000 8.1740 0.2567
-1.9887 -2.3914 8.5496
Dy Ir Se S
6 1 3 2
Cartesian
0.0000 5.8078 6.0287 Dy
1.9887 3.8594 3.0518 Dy
1.9887 -0.0252 2.7777 Dy
0.0000 1.8767 0.1030 Dy
1.9887 3.9059 8.7034 Dy
0.0000 1.9232 5.7546 Dy
1.9887 0.0000 0.0000 Ir
1.9887 4.0870 0.1284 Se
1.9887 -0.1819 5.6803 Se
0.0000 5.9645 3.1261 Se
1.9887 3.8376 5.8260 S
0.0000 1.9450 2.9803 S
```

Properties
ΔE_f (raw)   -1.692 eV per atom


No. 6
Here is a relaxed structure of Dy6Te3Ir2S from Alexandria via LeMat-Bulk. Energies are from PBE.

```
Dy6Te3Ir2S
1.0
7.1828 -0.0065 -0.0102
-3.5953 6.2182 -0.0102
-1.2068 -2.0896 7.1649
Dy Te Ir S
6 3 2 1
Cartesian
3.6232 1.9969 5.6552 Dy
2.3521 4.0726 1.4785 Dy
-1.2425 2.1251 1.4893 Dy
-0.0810 4.1363 5.6552 Dy
0.0286 0.0495 5.6661 Dy
2.4617 -0.0142 1.4893 Dy
-2.4377 4.1564 3.5723 Te
4.8184 -0.0343 3.5723 Te
1.1903 2.0610 3.5723 Te
-0.0072 4.1459 -0.0102 Ir
3.5947 2.0658 -0.0102 Ir
0.0000 0.0000 0.0000 S
```

Properties
ΔE_f (raw)   -1.284 eV per atom


What did the third record say?
Here is a relaxed structure of DyIrS from Alexandria via LeMat-Bulk. Energies are from PBE.

```
DyIrS
1.0
3.6770 0.0000 0.0000
-1.8385 3.2743 0.0000
0.0000 0.0000 10.1464
Ir S Dy
2 2 2
Cartesian
1.8385 0.6616 0.0000 Ir
0.0000 2.1260 5.0732 Ir
1.8385 0.6677 3.6317 S
1.8385 0.6677 6.5148 S
0.0000 1.7582 8.3202 Dy
0.0000 1.7582 1.8262 Dy
```

Properties
ΔE_f (raw)   -0.476 eV per atom


What is the formula in the fourth record?
Dy7IrS5